# 1
## ZnCrCdO4 (PBE+U)

Data for a relaxed structure of ZnCrCdO4.

a = 5.581 Å, b = 5.581 Å, c = 6.446 Å
α = 90.00°, β = 90.00°, γ = 113.69°
Sites, in units of the cell vectors:
Zn 0.155 0.845 0.750
Zn 0.845 0.155 0.250
Cr 0.145 0.855 0.250
Cr 0.855 0.145 0.750
Cd 0.500 0.500 0.000
Cd 0.500 0.500 0.500
O 0.211 0.235 0.750
O 0.235 0.211 0.250
O 0.251 0.749 0.018
O 0.251 0.749 0.482
O 0.749 0.251 0.518
O 0.749 0.251 0.982
O 0.765 0.789 0.750
O 0.789 0.765 0.250

Properties
The crystal system is orthorhombic. As for the raw total energy: -0.2028 Ha/atom. The calculation puts the total moment at 2.00 μB/f.u.

---

# 2
## ZnCr3Cd3O8 (PBE+U)

Data for a relaxed structure of ZnCr3Cd3O8.

a = 6.520 Å, b = 6.520 Å, c = 6.520 Å
α = 56.56°, β = 56.56°, γ = 56.56°
Sites, in units of the cell vectors:
Zn 0.000 0.000 0.000
Cr 0.000 0.500 0.500
Cr 0.500 0.000 0.500
Cr 0.500 0.500 0.000
Cd 0.000 0.000 0.500
Cd 0.000 0.500 0.000
Cd 0.500 0.000 0.000
O 0.238 0.238 0.728
O 0.238 0.728 0.238
O 0.269 0.269 0.269
O 0.272 0.762 0.762
O 0.728 0.238 0.238
O 0.731 0.731 0.731
O 0.762 0.272 0.762
O 0.762 0.762 0.272

Properties
Its density of states at the Fermi level is 2.8 states/eV/cell. The crystal system is trigonal. As for the raw total energy: -0.2116 Ha/atom. The calculation puts the total moment at 9.83 μB/f.u.

---

# 3
## ZrCr2CdO8 (PBE+U)

Data for a relaxed structure of ZrCr2CdO8.

a = 5.880 Å, b = 5.880 Å, c = 5.880 Å
α = 106.10°, β = 106.10°, γ = 116.46°
Sites, in units of the cell vectors:
Zr 0.000 0.000 0.000
Cr 0.500 0.500 0.000
Cr 0.750 0.250 0.500
Cd 0.250 0.750 0.500
O 0.311 0.132 0.821
O 0.311 0.491 0.179
O 0.388 0.087 0.302
O 0.509 0.689 0.821
O 0.785 0.087 0.698
O 0.868 0.689 0.179
O 0.913 0.215 0.302
O 0.913 0.612 0.698

Properties
Its density of states at the Fermi level is 2.1 states/eV/cell. The crystal system is tetragonal. As for the raw total energy: -0.2588 Ha/atom. The calculation puts the total moment at 2.00 μB/f.u.

---

# 4
## ZrCrCd2O6 (PBE+U)

Data for a relaxed structure of ZrCrCd2O6.

a = 5.609 Å, b = 5.609 Å, c = 4.338 Å
α = 90.00°, β = 90.00°, γ = 90.00°
Sites, in units of the cell vectors:
Zr 0.000 0.000 0.000
Cr 0.500 0.500 0.995
Cd 0.000 0.500 0.382
Cd 0.500 0.000 0.382
O 0.000 0.000 0.542
O 0.261 0.261 0.087
O 0.261 0.739 0.087
O 0.500 0.500 0.593
O 0.739 0.261 0.087
O 0.739 0.739 0.087

Properties
Its density of states at the Fermi level is 5.2 states/eV/cell. The crystal system is tetragonal. As for the raw total energy: -0.2356 Ha/atom. The calculation puts the total moment at 1.98 μB/f.u.